1.
Below is an optimized crystal structure of InP2, with properties calculated at the PBE level.

The structure in CIF format:
```
data_InP2
_chemical_formula_sum 'In2 P4'
_cell_length_a 5.4461
_cell_length_b 5.4461
_cell_length_c 5.4461
_cell_angle_alpha 60.00
_cell_angle_beta 60.00
_cell_angle_gamma 60.00
_symmetry_space_group_name_H-M 'P 1'
_symmetry_Int_Tables_number 1
loop_
_symmetry_equiv_pos_as_xyz
'x,y,z'
loop_
_atom_site_label
_atom_site_fract_x
_atom_site_fract_y
_atom_site_fract_z
In1 0.1250 0.1250 0.1250
In2 0.8750 0.8750 0.8750
P1 0.0000 0.5000 0.5000
P2 0.5000 0.0000 0.5000
P3 0.5000 0.5000 0.0000
P4 0.5000 0.5000 0.5000
```

Calculated values
As for the symmetry: Fd-3m (227). For the density of states at the Fermi level, the calculation gives 2.82 states/eV/f.u. Its formation energy is 0.526 eV per atom. The size of the total moment is 0.00 μB/f.u.



2.
Below is an optimized crystal structure of InP3, with properties calculated at the PBE level.

The structure in CIF format:
```
data_InP3
_chemical_formula_sum 'In1 P3'
_cell_length_a 3.2612
_cell_length_b 4.5986
_cell_length_c 5.8293
_cell_angle_alpha 90.00
_cell_angle_beta 90.00
_cell_angle_gamma 90.00
_symmetry_space_group_name_H-M 'P 1'
_symmetry_Int_Tables_number 1
loop_
_symmetry_equiv_pos_as_xyz
'x,y,z'
loop_
_atom_site_label
_atom_site_fract_x
_atom_site_fract_y
_atom_site_fract_z
In1 0.0000 0.0000 0.0000
P1 0.0000 0.5000 0.3418
P2 0.5000 0.0000 0.4426
P3 0.5000 0.5000 0.6016
```

Calculated values
As for the symmetry: Pmm2 (25). For the density of states at the Fermi level, the calculation gives 1.04 states/eV/f.u. Its formation energy is 0.364 eV per atom. The size of the total moment is 0.00 μB/f.u.



3.
Below is an optimized crystal structure of InP3, with properties calculated at the PBE level.

The structure in CIF format:
```
data_InP3
_chemical_formula_sum 'In4 P12'
_cell_length_a 7.2705
_cell_length_b 7.2705
_cell_length_c 6.4223
_cell_angle_alpha 90.00
_cell_angle_beta 90.00
_cell_angle_gamma 120.00
_symmetry_space_group_name_H-M 'P 1'
_symmetry_Int_Tables_number 1
loop_
_symmetry_equiv_pos_as_xyz
'x,y,z'
loop_
_atom_site_label
_atom_site_fract_x
_atom_site_fract_y
_atom_site_fract_z
In1 0.0000 0.0000 0.0000
In2 0.0000 0.0000 0.5000
In3 0.3333 0.6667 0.2500
In4 0.6667 0.3333 0.7500
P1 0.0000 0.5000 0.0000
P2 0.0000 0.5000 0.5000
P3 0.1848 0.3697 0.7500
P4 0.1848 0.8152 0.7500
P5 0.3697 0.1848 0.2500
P6 0.5000 0.0000 0.0000
P7 0.5000 0.0000 0.5000
P8 0.5000 0.5000 0.0000
P9 0.5000 0.5000 0.5000
P10 0.6303 0.8152 0.7500
P11 0.8152 0.1848 0.2500
P12 0.8152 0.6303 0.2500
```

Calculated values
As for the symmetry: P6_3/mmc (194). For the density of states at the Fermi level, the calculation gives 1.45 states/eV/f.u. Its formation energy is 0.288 eV per atom. The size of the total moment is 0.00 μB/f.u.



4.
Below is an optimized crystal structure of In3P2, with properties calculated at the PBE level.

The structure in CIF format:
```
data_In3P2
_chemical_formula_sum 'In3 P2'
_cell_length_a 4.5940
_cell_length_b 4.5940
_cell_length_c 6.8181
_cell_angle_alpha 90.00
_cell_angle_beta 90.00
_cell_angle_gamma 120.00
_symmetry_space_group_name_H-M 'P 1'
_symmetry_Int_Tables_number 1
loop_
_symmetry_equiv_pos_as_xyz
'x,y,z'
loop_
_atom_site_label
_atom_site_fract_x
_atom_site_fract_y
_atom_site_fract_z
In1 0.0000 0.0000 0.0000
In2 0.3333 0.6667 0.3410
In3 0.6667 0.3333 0.6590
P1 0.3333 0.6667 0.7532
P2 0.6667 0.3333 0.2468
```

Calculated values
As for the symmetry: P-3m1 (164). For the density of states at the Fermi level, the calculation gives 0.72 states/eV/f.u. Its formation energy is 0.074 eV per atom. As for the energy above the most stable polymorph in this dataset: 0.0988 eV per atom. The size of the total moment is 0.00 μB/f.u.



5.
Below is an optimized crystal structure of InP3, with properties calculated at the PBE level.

The structure in CIF format:
```
data_InP3
_chemical_formula_sum 'In1 P3'
_cell_length_a 4.5657
_cell_length_b 4.5657
_cell_length_c 4.5657
_cell_angle_alpha 109.47
_cell_angle_beta 109.47
_cell_angle_gamma 109.47
_symmetry_space_group_name_H-M 'P 1'
_symmetry_Int_Tables_number 1
loop_
_symmetry_equiv_pos_as_xyz
'x,y,z'
loop_
_atom_site_label
_atom_site_fract_x
_atom_site_fract_y
_atom_site_fract_z
In1 0.0000 0.0000 0.0000
P1 0.0000 0.5000 0.5000
P2 0.5000 0.0000 0.5000
P3 0.5000 0.5000 0.0000
```

Calculated values
As for the symmetry: Im-3m (229). For the density of states at the Fermi level, the calculation gives 1.46 states/eV/f.u. Its formation energy is 0.256 eV per atom. The size of the total moment is 0.00 μB/f.u.



6.
Below is an optimized crystal structure of In7P, with properties calculated at the PBE level.

The structure in CIF format:
```
data_In7P
_chemical_formula_sum 'In7 P1'
_cell_length_a 6.6325
_cell_length_b 6.6325
_cell_length_c 6.6325
_cell_angle_alpha 60.00
_cell_angle_beta 60.00
_cell_angle_gamma 60.00
_symmetry_space_group_name_H-M 'P 1'
_symmetry_Int_Tables_number 1
loop_
_symmetry_equiv_pos_as_xyz
'x,y,z'
loop_
_atom_site_label
_atom_site_fract_x
_atom_site_fract_y
_atom_site_fract_z
In1 0.0000 0.0000 0.0000
In2 0.0000 0.0000 0.5000
In3 0.0000 0.5000 0.0000
In4 0.0000 0.5000 0.5000
In5 0.5000 0.0000 0.0000
In6 0.5000 0.0000 0.5000
In7 0.5000 0.5000 0.0000
P1 0.5000 0.5000 0.5000
```

Calculated values
As for the symmetry: Fm-3m (225). For the density of states at the Fermi level, the calculation gives 6.15 states/eV/f.u. Its formation energy is 0.140 eV per atom. The size of the total moment is 0.00 μB/f.u.



7.
Below is an optimized crystal structure of In3P2, with properties calculated at the PBE level.

The structure in CIF format:
```
data_In3P2
_chemical_formula_sum 'In6 P4'
_cell_length_a 8.4406
_cell_length_b 6.7761
_cell_length_c 9.9788
_cell_angle_alpha 56.70
_cell_angle_beta 42.14
_cell_angle_gamma 81.16
_symmetry_space_group_name_H-M 'P 1'
_symmetry_Int_Tables_number 1
loop_
_symmetry_equiv_pos_as_xyz
'x,y,z'
loop_
_atom_site_label
_atom_site_fract_x
_atom_site_fract_y
_atom_site_fract_z
In1 0.0000 0.0000 0.0000
In2 0.1480 0.5568 0.7458
In3 0.2500 0.2500 0.2500
In4 0.5042 0.7006 0.1020
In5 0.5568 0.1480 0.5494
In6 0.7006 0.5042 0.6932
P1 0.1499 0.7680 0.4365
P2 0.6044 0.8135 0.4820
P3 0.7680 0.1499 0.6456
P4 0.8135 0.6044 0.1001
```

Calculated values
As for the symmetry: Fdd2 (43). For the density of states at the Fermi level, the calculation gives 1.21 states/eV/f.u. Its formation energy is -0.002 eV per atom. As for the energy above the most stable polymorph in this dataset: 0.0231 eV per atom. The size of the total moment is 0.00 μB/f.u.



8.
Below is an optimized crystal structure of InP2, with properties calculated at the PBE level.

The structure in CIF format:
```
data_InP2
_chemical_formula_sum 'In2 P4'
_cell_length_a 4.8642
_cell_length_b 4.8642
_cell_length_c 5.4607
_cell_angle_alpha 90.00
_cell_angle_beta 90.00
_cell_angle_gamma 120.00
_symmetry_space_group_name_H-M 'P 1'
_symmetry_Int_Tables_number 1
loop_
_symmetry_equiv_pos_as_xyz
'x,y,z'
loop_
_atom_site_label
_atom_site_fract_x
_atom_site_fract_y
_atom_site_fract_z
In1 0.3333 0.6667 0.2500
In2 0.6667 0.3333 0.7500
P1 0.0000 0.0000 0.0000
P2 0.0000 0.0000 0.5000
P3 0.3333 0.6667 0.7500
P4 0.6667 0.3333 0.2500
```

Calculated values
As for the symmetry: P6_3/mmc (194). For the density of states at the Fermi level, the calculation gives 2.22 states/eV/f.u. Its formation energy is 0.610 eV per atom. The size of the total moment is 0.00 μB/f.u.



9.
Below is an optimized crystal structure of In4P, with properties calculated at the PBE level.

The structure in CIF format:
```
data_In4P
_chemical_formula_sum 'In4 P1'
_cell_length_a 5.6802
_cell_length_b 5.6802
_cell_length_c 5.6802
_cell_angle_alpha 109.47
_cell_angle_beta 109.47
_cell_angle_gamma 109.47
_symmetry_space_group_name_H-M 'P 1'
_symmetry_Int_Tables_number 1
loop_
_symmetry_equiv_pos_as_xyz
'x,y,z'
loop_
_atom_site_label
_atom_site_fract_x
_atom_site_fract_y
_atom_site_fract_z
In1 0.0000 0.0000 0.5000
In2 0.0000 0.5000 0.0000
In3 0.5000 0.0000 0.0000
In4 0.5000 0.5000 0.5000
P1 0.0000 0.0000 0.0000
```

Calculated values
As for the symmetry: Im-3m (229). For the density of states at the Fermi level, the calculation gives 1.87 states/eV/f.u. Its formation energy is 0.218 eV per atom. As for the energy above the most stable polymorph in this dataset: 0.0000 eV per atom. The size of the total moment is 0.00 μB/f.u.



10.
Below is an optimized crystal structure of InP2, with properties calculated at the PBE level.

The structure in CIF format:
```
data_InP2
_chemical_formula_sum 'In2 P4'
_cell_length_a 5.4616
_cell_length_b 5.4616
_cell_length_c 5.4616
_cell_angle_alpha 115.53
_cell_angle_beta 115.53
_cell_angle_gamma 97.93
_symmetry_space_group_name_H-M 'P 1'
_symmetry_Int_Tables_number 1
loop_
_symmetry_equiv_pos_as_xyz
'x,y,z'
loop_
_atom_site_label
_atom_site_fract_x
_atom_site_fract_y
_atom_site_fract_z
In1 0.2500 0.2500 0.0000
In2 0.7500 0.7500 0.0000
P1 0.1265 0.6265 0.7531
P2 0.3735 0.1265 0.5000
P3 0.6265 0.8735 0.5000
P4 0.8735 0.3735 0.2469
```

Calculated values
As for the symmetry: I4/mcm (140). For the density of states at the Fermi level, the calculation gives 1.85 states/eV/f.u. Its formation energy is 0.209 eV per atom. The size of the total moment is 0.00 μB/f.u.



11.
Below is an optimized crystal structure of InP2, with properties calculated at the PBE level.

The structure in CIF format:
```
data_InP2
_chemical_formula_sum 'In2 P4'
_cell_length_a 8.1586
_cell_length_b 8.1586
_cell_length_c 5.5341
_cell_angle_alpha 102.47
_cell_angle_beta 102.47
_cell_angle_gamma 22.94
_symmetry_space_group_name_H-M 'P 1'
_symmetry_Int_Tables_number 1
loop_
_symmetry_equiv_pos_as_xyz
'x,y,z'
loop_
_atom_site_label
_atom_site_fract_x
_atom_site_fract_y
_atom_site_fract_z
In1 0.1633 0.1633 0.4131
In2 0.8367 0.8367 0.5869
P1 0.1128 0.1128 0.8702
P2 0.4831 0.4831 0.1892
P3 0.5169 0.5169 0.8108
P4 0.8872 0.8872 0.1298
```

Calculated values
As for the symmetry: C2/m (12). For the density of states at the Fermi level, the calculation gives 1.09 states/eV/f.u. Its formation energy is 0.011 eV per atom. The size of the total moment is 0.00 μB/f.u.



12.
Below is an optimized crystal structure of InP2, with properties calculated at the PBE level.

The structure in CIF format:
```
data_InP2
_chemical_formula_sum 'In2 P4'
_cell_length_a 8.0694
_cell_length_b 8.0694
_cell_length_c 8.0694
_cell_angle_alpha 151.07
_cell_angle_beta 151.07
_cell_angle_gamma 41.38
_symmetry_space_group_name_H-M 'P 1'
_symmetry_Int_Tables_number 1
loop_
_symmetry_equiv_pos_as_xyz
'x,y,z'
loop_
_atom_site_label
_atom_site_fract_x
_atom_site_fract_y
_atom_site_fract_z
In1 0.3750 0.6250 0.7500
In2 0.6250 0.3750 0.2500
P1 0.0473 0.7973 0.2500
P2 0.2027 0.9527 0.2500
P3 0.7973 0.0473 0.7500
P4 0.9527 0.2027 0.7500
```

Calculated values
As for the symmetry: I4_1/amd (141). For the density of states at the Fermi level, the calculation gives 1.25 states/eV/f.u. Its formation energy is 0.375 eV per atom. The size of the total moment is 0.00 μB/f.u.